P | Material: Er8CuNi2
Method: DFT, GGA-PBE
State: optimized geometry

Computed properties:
Volume: 25.6 Å³/atom
DOS at the Fermi energy: 1.224 states/eV/atom
Spin magnetization: 0.000 μB per atom
Theoretical density: 8.963 g/cm3

Cell lengths 7.450, 7.450, 5.781 Å; angles 99.36, 99.36, 113.34 degrees
Positions (direct):
Er 0.000 0.000 0.000
Er 0.028 0.290 0.593
Er 0.145 0.593 0.185
Er 0.290 0.028 0.593
Er 0.444 0.707 0.791
Er 0.593 0.145 0.185
Er 0.707 0.444 0.791
Er 0.735 0.735 0.370
Cu 0.369 0.369 0.031
Ni 0.058 0.676 0.688
Ni 0.676 0.058 0.688

Q | Material: Er8CuNi2
Method: DFT, GGA-PBE
State: optimized geometry

Computed properties:
Volume: 24.4 Å³/atom
DOS at the Fermi energy: 1.185 states/eV/atom
Spin magnetization: 0.000 μB per atom
Theoretical density: 9.415 g/cm3

Cell lengths 8.899, 8.899, 6.586 Å; angles 105.12, 105.12, 32.26 degrees
Positions (direct):
Er 0.036 0.036 0.284
Er 0.202 0.202 0.832
Er 0.328 0.328 0.517
Er 0.407 0.407 0.039
Er 0.593 0.593 0.961
Er 0.672 0.672 0.483
Er 0.798 0.798 0.168
Er 0.964 0.964 0.716
Cu 0.500 0.500 0.500
Ni 0.186 0.186 0.226
Ni 0.814 0.814 0.774

If we sort the structures by their calculated energies, the order from most to least stable is Q, P.

P | Material: ErCuNi4
Method: DFT, GGA-PBE
State: optimized geometry

Computed properties:
Volume: 13.7 Å³/atom
DOS at the Fermi energy: 1.205 states/eV/atom
Spin magnetization: 0.019 μB per atom
Theoretical density: 9.383 g/cm3

Cell lengths 7.653, 7.653, 5.902 Å; angles 90.00, 90.00, 151.53 degrees
Positions (direct):
Er 0.110 0.890 0.750
Er 0.890 0.110 0.250
Cu 0.235 0.765 0.250
Cu 0.765 0.235 0.750
Ni 0.073 0.927 0.250
Ni 0.336 0.664 0.557
Ni 0.336 0.664 0.943
Ni 0.500 0.500 0.000
Ni 0.500 0.500 0.500
Ni 0.664 0.336 0.057
Ni 0.664 0.336 0.443
Ni 0.927 0.073 0.750

Q | Material: ErCuNi4
Method: DFT, GGA-PBE
State: optimized geometry

Computed properties:
Volume: 13.4 Å³/atom
DOS at the Fermi energy: 1.201 states/eV/atom
Spin magnetization: 0.178 μB per atom
Theoretical density: 9.634 g/cm3

Cell lengths 4.841, 4.841, 4.841 Å; angles 60.00, 60.00, 60.00 degrees
Positions (direct):
Er 0.000 0.000 0.000
Cu 0.750 0.750 0.750
Ni 0.376 0.376 0.376
Ni 0.376 0.376 0.872
Ni 0.376 0.872 0.376
Ni 0.872 0.376 0.376

If we sort the structures by their calculated energies, the order from most to least stable is Q, P.